Compound: KCe2F8
Source: Alexandria
Functional: GGA-PBE
Structure: relaxed

```
KCe2F8
1.0
-3.4893 -0.3549 -2.7546
-1.5359 -5.2946 3.5348
-2.0055 5.6071 2.7249
Ce F K
2 8 1
direct
0.0000 0.6772 0.3228
0.0000 0.3228 0.6772
0.5000 0.2635 0.7365
0.2665 0.6035 0.6035
0.0657 0.0463 0.3346
0.7335 0.3965 0.3965
0.9343 0.6654 0.9537
0.5000 0.7365 0.2635
0.9343 0.9537 0.6654
0.0657 0.3346 0.0463
0.5000 0.0000 0.0000
```

Values from the calculation:
Size of the total moment (μB per formula unit): 1.036
Symmetry: C2/m, No. 12
E_form (uncorrected) (eV/atom): -3.764